Entry 1:
Below is a relaxed Hf6InCu crystal, with properties calculated at the PBE-GGA level.

The structure belongs to space group R-3 (No. 148, hexagonal axes); the cell edges are 7.7761, 7.7761 and 9.5295 Å and the angles 90.00°, 90.00° and 120.00°. The distinct sites, in fractional coordinates, are Hf at (0.0026, 0.2522, 0.2511), In at (0.0000, 0.0000, 0.0000) and Cu at (0.0000, 0.0000, 0.5000).

For the energy of formation, the calculation gives -0.0068 eV per atom. As for the crystal system: trigonal.

---

Entry 2:
Below is a relaxed Hf4InCu crystal, with properties calculated at the PBE-GGA level.

The structure belongs to space group P4/mmm (No. 123); the cell edges are 3.1445, 3.1445 and 12.5481 Å and the angles 90.00°, 90.00° and 90.00°. The distinct sites, in fractional coordinates, are Hf at (0.0000, 0.0000, 0.1408), Hf at (0.5000, 0.5000, 0.3111), In at (0.0000, 0.0000, 0.5000) and Cu at (0.5000, 0.5000, 0.0000).

For the energy of formation, the calculation gives -0.1570 eV per atom. Its offset from the most stable computed form is 0 meV/atom. As for the crystal system: tetragonal.

---

Entry 3:
Below is a relaxed HfInCu crystal, with properties calculated at the PBE-GGA level.

The structure belongs to space group C2/m (No. 12); the cell edges are 11.1443, 4.0837 and 5.0775 Å and the angles 90.00°, 98.23° and 90.00°. The distinct sites, in fractional coordinates, are Hf at (0.1419, 0.0000, 0.3279), In at (0.0747, 0.5000, 0.7787) and Cu at (0.2307, 0.0000, 0.8372).

For the energy of formation, the calculation gives -0.0787 eV per atom. As for the crystal system: monoclinic.

---

Entry 4:
Below is a relaxed HfInCu2 crystal, with properties calculated at the PBE-GGA level.

The structure belongs to space group P4/mmm (No. 123); the cell edges are 4.4403, 4.4403 and 3.4552 Å and the angles 90.00°, 90.00° and 90.00°. The distinct sites, in fractional coordinates, are Hf at (0.0000, 0.0000, 0.0000), In at (0.5000, 0.5000, 0.0000) and Cu at (0.0000, 0.5000, 0.5000).

For the energy of formation, the calculation gives -0.0340 eV per atom. As for the crystal system: tetragonal.

---

Entry 5:
Below is a relaxed Hf4In2Cu crystal, with properties calculated at the PBE-GGA level.

The structure belongs to space group I4/mmm (No. 139); the cell edges are 4.7285, 4.7285 and 15.0781 Å and the angles 90.00°, 90.00° and 90.00°. The distinct sites, in fractional coordinates, are Hf at (0.0000, 0.0000, 0.1701), Hf at (0.0000, 0.5000, 0.0000), In at (0.0000, 0.0000, 0.3643) and Cu at (0.0000, 0.0000, 0.0000).

For the energy of formation, the calculation gives 0.3631 eV per atom. As for the crystal system: tetragonal.

---

Entry 6:
Below is a relaxed Hf2InCu crystal, with properties calculated at the PBE-GGA level.

The structure belongs to space group P4/mmm (No. 123); the cell edges are 3.1259, 3.1259 and 7.8970 Å and the angles 90.00°, 90.00° and 90.00°. The distinct sites, in fractional coordinates, are Hf at (0.0000, 0.0000, 0.2204), In at (0.5000, 0.5000, 0.5000) and Cu at (0.5000, 0.5000, 0.0000).

For the energy of formation, the calculation gives -0.1242 eV per atom. As for the crystal system: tetragonal.